[1]
First-principles (PBE-GGA) data for an optimized crystal structure of Cs2GdYO4, as listed in OQMD.

Volume: 147.9 Å³/cell
Total DFT energy (no corrections): -6.682 eV/atom
Total moment: 0.015 μB/f.u.

Cell and atoms, written as POSCAR:
```
Cs2GdYO4
1.0
3.549 0.000 0.000
-1.774 3.073 0.000
0.000 0.000 13.565
O Gd Cs Y
4 1 2 1
direct
0.667 0.333 0.917 O
0.333 0.667 0.415 O
0.333 0.667 0.083 O
0.667 0.333 0.585 O
0.000 0.000 0.500 Gd
0.333 0.667 0.750 Cs
0.667 0.333 0.250 Cs
0.000 0.000 0.000 Y
```

---

[2]
First-principles (PBE-GGA) data for an optimized crystal structure of MgAlFeNi, as listed in OQMD.

Volume: 52.0 Å³/cell
E above lowest polymorph: 152 meV per atom
Total moment: 2.544 μB/f.u.

Cell and atoms, written as POSCAR:
```
MgAlFeNi
1.0
-3.011 0.226 2.905
-1.963 3.634 0.704
-3.998 0.480 -1.160
Ni Fe Mg Al
1 1 1 1
direct
0.750 0.750 0.750 Ni
0.500 0.500 0.500 Fe
0.000 0.000 0.000 Mg
0.250 0.250 0.250 Al
```

---

[3]
First-principles (PBE-GGA) data for an optimized crystal structure of Zr2Ta4C3S3, as listed in OQMD.

Volume: 342.5 Å³/cell
Total DFT energy (no corrections): -9.647 eV/atom
Total moment: 0.003 μB/f.u.

Cell and atoms, written as POSCAR:
```
Zr2Ta4C3S3
1.0
5.010 -2.893 0.000
5.010 2.893 0.000
-3.318 0.000 11.815
S Zr C Ta
6 4 6 8
direct
0.416 0.234 0.750 S
0.766 0.584 0.750 S
0.066 0.934 0.750 S
0.584 0.766 0.250 S
0.234 0.416 0.250 S
0.934 0.066 0.250 S
0.465 0.628 0.895 Zr
0.535 0.372 0.105 Zr
0.628 0.465 0.395 Zr
0.372 0.535 0.605 Zr
0.500 0.000 0.000 C
0.158 0.671 0.000 C
0.671 0.158 0.500 C
0.329 0.842 0.500 C
0.000 0.500 0.500 C
0.842 0.329 0.000 C
0.302 0.141 0.408 Ta
0.141 0.302 0.908 Ta
0.026 0.201 0.592 Ta
0.799 0.974 0.908 Ta
0.859 0.698 0.092 Ta
0.201 0.026 0.092 Ta
0.698 0.859 0.592 Ta
0.974 0.799 0.408 Ta
```

---

Q: The highest total moment belongs to which entry?
A: MgAlFeNi

---

Q: Which formula does entry 1 have?
A: Cs2GdYO4